[1]
DFT (PBE) results for a relaxed structure of HoGaPt4.

Unit cell a=3.888 b=6.755 c=8.230 alpha=90.00 beta=103.66 gamma=90.00
Fractional coordinates of all 12 atoms:
Pt 0.674 0.957 0.349
Pt 0.500 0.000 0.000
Pt 0.500 0.500 0.000
Pt 0.076 0.750 0.151
Pt 0.326 0.457 0.651
Pt 0.674 0.543 0.349
Pt 0.924 0.250 0.849
Pt 0.326 0.043 0.651
Ho 0.100 0.250 0.200
Ho 0.900 0.750 0.800
Ga 0.236 0.750 0.473
Ga 0.764 0.250 0.527

Computed properties:
Total moment in μB/f.u.: 0.000
Energy of formation from the pure elements in eV per atom: -0.852


[2]
DFT (PBE) results for a relaxed structure of Tm2Co12P7.

Unit cell a=8.982 b=8.982 c=3.567 alpha=90.00 beta=90.00 gamma=120.00
Fractional coordinates of all 21 atoms:
Co 0.273 0.042 0.000
Co 0.716 0.103 0.500
Co 0.452 0.512 0.000
Co 0.230 0.799 0.500
Co 0.060 0.548 0.000
Co 0.569 0.770 0.500
Co 0.387 0.284 0.500
Co 0.958 0.231 0.000
Co 0.201 0.431 0.500
Co 0.769 0.727 0.000
Co 0.488 0.940 0.000
Co 0.897 0.613 0.500
Tm 0.000 0.000 0.500
Tm 0.667 0.333 0.000
P 0.040 0.781 0.000
P 0.219 0.259 0.000
P 0.446 0.070 0.500
P 0.741 0.960 0.000
P 0.333 0.667 0.000
P 0.930 0.376 0.500
P 0.624 0.554 0.500

Computed properties:
Total moment in μB/f.u.: 4.680
Energy of formation from the pure elements in eV per atom: -0.810


[3]
DFT (PBE) results for a relaxed structure of MnTeS2.

Unit cell a=7.422 b=3.257 c=15.384 alpha=90.00 beta=90.00 gamma=90.00
Fractional coordinates of all 16 atoms:
Te 0.873 0.250 0.084
Te 0.627 0.750 0.584
Te 0.127 0.750 0.916
Te 0.373 0.250 0.416
S 0.783 0.250 0.692
S 0.283 0.250 0.808
S 0.717 0.750 0.192
S 0.608 0.750 0.912
S 0.108 0.750 0.588
S 0.392 0.250 0.088
S 0.892 0.250 0.412
S 0.217 0.750 0.308
Mn 0.416 0.250 0.947
Mn 0.916 0.250 0.553
Mn 0.084 0.750 0.447
Mn 0.584 0.750 0.053

Computed properties:
Total moment in μB/f.u.: 1.056
Formation energy from raw total energies in eV per atom: -0.192


[4]
DFT (PBE) results for a relaxed structure of CdC3I.

Unit cell a=4.255 b=4.255 c=4.255 alpha=90.00 beta=90.00 gamma=90.00
Fractional coordinates of all 5 atoms:
C 0.000 0.500 0.000
C 0.000 0.000 0.500
C 0.500 0.000 0.000
Cd 0.500 0.500 0.500
I 0.000 0.000 0.000

Computed properties:
Total moment in μB/f.u.: 1.185
Formation energy from raw total energies in eV per atom: 3.268


- The lowest total moment belongs to which entry?
  HoGaPt4